VASP calculation (meta-GGA SCAN) on a PBEsol-optimized structure of TiRu3I.

Computed properties:
ΔE_f (raw) ... 1.49 eV/atom
VASP energy ... -29.963 eV/atom

a b c (Å): 4.530 4.530 4.530
angles (deg): 90.00 90.00 90.00
Positions (direct):
I: 0.500 0.500 0.500
Ru: 0.000 0.500 0.000
Ru: 0.000 0.000 0.500
Ru: 0.500 0.000 0.000
Ti: 0.000 0.000 0.000

VASP calculation (meta-GGA SCAN) on a PBEsol-optimized structure of SrInI2O.

Computed properties:
ΔE_f (raw) ... -1.05 eV/atom
VASP energy ... -28.123 eV/atom

a b c (Å): 4.059 6.122 6.122
angles (deg): 90.00 90.00 90.00
Positions (direct):
I: 0.000 0.000 0.500
I: 0.000 0.500 0.000
Sr: 0.500 0.500 0.500
O: 0.500 0.000 0.000
In: 0.000 0.000 0.000

VASP calculation (meta-GGA SCAN) on a PBEsol-optimized structure of K3NbTc.

Computed properties:
DFT formation energy ... 2047 meV per atom
VASP energy ... -16.588 eV/atom

a b c (Å): 6.469 6.469 6.469
angles (deg): 90.00 90.00 90.00
Positions (direct):
K: 0.000 0.500 0.000
K: 0.000 0.000 0.500
K: 0.500 0.000 0.000
Nb: 0.000 0.000 0.000
Tc: 0.500 0.500 0.500

VASP calculation (meta-GGA SCAN) on a PBEsol-optimized structure of CrC2.

Computed properties:
DFT formation energy ... 680 meV per atom
VASP energy ... -12.181 eV/atom
E above lowest polymorph ... 0.00 kJ/mol of atoms

a b c (Å): 2.535 3.667 5.909
angles (deg): 108.08 102.39 90.00
Positions (direct):
Cr: 0.444 0.694 0.888
Cr: 0.556 0.306 0.112
C: 0.916 0.166 0.832
C: 0.084 0.834 0.168
C: 0.783 0.033 0.566
C: 0.217 0.967 0.434

VASP calculation (meta-GGA SCAN) on a PBEsol-optimized structure of ScFeBi2H.

Computed properties:
VASP energy ... -38.487 eV/atom

a b c (Å): 3.357 5.126 5.126
angles (deg): 90.00 90.00 90.00
Positions (direct):
Sc: 0.500 0.500 0.500
H: 0.000 0.000 0.000
Bi: 0.000 0.000 0.500
Bi: 0.000 0.500 0.000
Fe: 0.500 0.000 0.000

VASP calculation (meta-GGA SCAN) on a PBEsol-optimized structure of LaIr.

Computed properties:
DFT formation energy ... -864 meV per atom
VASP energy ... -57.966 eV/atom

a b c (Å): 4.432 4.432 5.690
angles (deg): 90.00 90.00 120.00
Positions (direct):
Ir: 0.000 0.000 0.000
Ir: 0.000 0.000 0.500
La: 0.667 0.333 0.750
La: 0.333 0.667 0.250

VASP calculation (meta-GGA SCAN) on a PBEsol-optimized structure of Cd5Si2O10.

Computed properties:
ΔE_f (raw) ... -1.71 eV/atom
VASP energy ... -15.500 eV/atom

a b c (Å): 4.930 11.208 17.227
angles (deg): 108.64 90.00 90.00
Positions (direct):
Cd: 0.500 0.500 0.000
Cd: 0.000 0.000 0.000
Cd: 0.000 0.000 0.500
Cd: 0.500 0.500 0.500
Cd: 0.486 0.834 0.102
Cd: 0.986 0.666 0.898
Cd: 0.514 0.166 0.898
Cd: 0.014 0.334 0.102
Cd: 0.514 0.166 0.398
Cd: 0.014 0.334 0.602
Cd: 0.486 0.834 0.602
Cd: 0.986 0.666 0.398
Cd: 0.989 0.886 0.288
Cd: 0.489 0.614 0.712
Cd: 0.011 0.114 0.712
Cd: 0.511 0.386 0.288
Cd: 0.012 0.114 0.212
Cd: 0.512 0.386 0.788
Cd: 0.988 0.886 0.788
Cd: 0.488 0.614 0.212
Si: 0.928 0.646 0.100
Si: 0.428 0.854 0.900
Si: 0.072 0.354 0.900
Si: 0.572 0.146 0.100
Si: 0.072 0.354 0.400
Si: 0.572 0.146 0.600
Si: 0.928 0.646 0.600
Si: 0.428 0.854 0.400
O: 0.785 0.749 0.181
O: 0.285 0.751 0.819
O: 0.215 0.251 0.819
O: 0.715 0.249 0.181
O: 0.214 0.251 0.319
O: 0.714 0.249 0.681
O: 0.786 0.749 0.681
O: 0.286 0.751 0.319
O: 0.700 0.007 0.097
O: 0.200 0.493 0.903
O: 0.300 0.993 0.903
O: 0.800 0.507 0.097
O: 0.300 0.993 0.403
O: 0.800 0.507 0.597
O: 0.700 0.007 0.597
O: 0.200 0.493 0.403
O: 0.794 0.677 0.021
O: 0.294 0.823 0.979
O: 0.206 0.323 0.979
O: 0.706 0.177 0.021
O: 0.206 0.323 0.479
O: 0.706 0.177 0.521
O: 0.794 0.677 0.521
O: 0.294 0.823 0.479
O: 0.741 0.350 0.396
O: 0.241 0.150 0.604
O: 0.259 0.650 0.604
O: 0.759 0.850 0.396
O: 0.259 0.650 0.104
O: 0.759 0.850 0.896
O: 0.741 0.350 0.896
O: 0.241 0.150 0.104
O: 0.281 0.957 0.214
O: 0.781 0.543 0.786
O: 0.719 0.043 0.786
O: 0.219 0.457 0.214
O: 0.719 0.043 0.286
O: 0.219 0.457 0.714
O: 0.281 0.957 0.714
O: 0.781 0.543 0.286

VASP calculation (meta-GGA SCAN) on a PBEsol-optimized structure of CaTcSe.

Computed properties:
ΔE_f (raw) ... 0.72 eV/atom
VASP energy ... -20.885 eV/atom

a b c (Å): 4.687 4.687 4.687
angles (deg): 60.00 60.00 60.00
Positions (direct):
Ca: 0.250 0.250 0.250
Tc: 0.500 0.500 0.500
Se: 0.000 0.000 0.000

VASP calculation (meta-GGA SCAN) on a PBEsol-optimized structure of SrCa3Si4.

Computed properties:
ΔE_f (raw) ... -0.54 eV/atom
VASP energy ... -11.957 eV/atom

a b c (Å): 3.898 4.534 10.869
angles (deg): 90.00 90.00 90.00
Positions (direct):
Sr: 0.000 0.500 0.142
Ca: 0.000 0.000 0.641
Ca: 0.500 0.000 0.368
Ca: 0.500 0.500 0.857
Si: 0.000 0.500 0.437
Si: 0.000 0.000 0.924
Si: 0.500 0.000 0.058
Si: 0.500 0.500 0.573

VASP calculation (meta-GGA SCAN) on a PBEsol-optimized structure of Li2MoO4.

Computed properties:
ΔE_f (raw) ... -2.34 eV/atom
VASP energy ... -11.570 eV/atom

a b c (Å): 8.844 8.844 8.844
angles (deg): 107.89 107.89 107.89
Positions (direct):
Li: 0.225 0.391 0.629
Li: 0.702 0.106 0.933
Li: 0.298 0.894 0.067
Li: 0.629 0.225 0.391
Li: 0.933 0.702 0.106
Li: 0.106 0.933 0.702
Li: 0.371 0.775 0.609
Li: 0.391 0.629 0.225
Li: 0.894 0.067 0.298
Li: 0.609 0.371 0.775
Li: 0.067 0.298 0.894
Li: 0.775 0.609 0.371
Mo: 0.555 0.731 0.966
Mo: 0.445 0.269 0.034
Mo: 0.731 0.966 0.555
Mo: 0.034 0.445 0.269
Mo: 0.966 0.555 0.731
Mo: 0.269 0.034 0.445
O: 0.472 0.507 0.813
O: 0.119 0.779 0.817
O: 0.813 0.472 0.507
O: 0.141 0.151 0.458
O: 0.542 0.859 0.849
O: 0.849 0.542 0.859
O: 0.183 0.881 0.221
O: 0.187 0.528 0.493
O: 0.817 0.119 0.779
O: 0.920 0.575 0.250
O: 0.221 0.183 0.881
O: 0.779 0.817 0.119
O: 0.507 0.813 0.472
O: 0.528 0.493 0.187
O: 0.151 0.458 0.141
O: 0.881 0.221 0.183
O: 0.575 0.250 0.920
O: 0.493 0.187 0.528
O: 0.859 0.849 0.542
O: 0.080 0.425 0.750
O: 0.458 0.141 0.151
O: 0.750 0.080 0.425
O: 0.250 0.920 0.575
O: 0.425 0.750 0.080

VASP calculation (meta-GGA SCAN) on a PBEsol-optimized structure of Mn3Cr.

Computed properties:
DFT formation energy ... 114 meV per atom
VASP energy ... -18.173 eV/atom

a b c (Å): 2.404 4.590 4.590
angles (deg): 117.02 100.05 100.05
Positions (direct):
Cr: 0.000 0.000 0.000
Mn: 0.000 0.500 0.500
Mn: 0.500 0.000 0.500
Mn: 0.500 0.500 0.000

VASP calculation (meta-GGA SCAN) on a PBEsol-optimized structure of Mn3P6WO24.

Computed properties:
ΔE_f (raw) ... -2.30 eV/atom
VASP energy ... -12.190 eV/atom

a b c (Å): 8.195 8.195 8.619
angles (deg): 61.61 61.61 60.00
Positions (direct):
Mn: 0.141 0.141 0.577
Mn: 0.354 0.354 0.937
Mn: 0.649 0.649 0.054
P: 0.456 0.033 0.760
P: 0.751 0.456 0.760
P: 0.033 0.751 0.760
P: 0.974 0.263 0.243
P: 0.263 0.520 0.243
P: 0.520 0.974 0.243
W: 0.861 0.861 0.418
O: 0.516 0.171 0.087
O: 0.171 0.226 0.087
O: 0.255 0.111 0.735
O: 0.226 0.516 0.087
O: 0.484 0.185 0.791
O: 0.623 0.999 0.574
O: 0.898 0.255 0.735
O: 0.540 0.484 0.791
O: 0.185 0.540 0.791
O: 0.995 0.204 0.431
O: 0.900 0.104 0.268
O: 0.204 0.370 0.431
O: 0.804 0.623 0.574
O: 0.111 0.898 0.735
O: 0.999 0.804 0.574
O: 0.815 0.468 0.206
O: 0.468 0.511 0.206
O: 0.104 0.728 0.268
O: 0.370 0.995 0.431
O: 0.511 0.815 0.206
O: 0.780 0.480 0.910
O: 0.728 0.900 0.268
O: 0.829 0.780 0.910
O: 0.480 0.829 0.910